VASP calculation (PBE) on crystalline Rb3Ni2IBr9 at its relaxed geometry.

Calculated volume   31.702 Å³ per atom
Formation energy without anion corrections   -0.80 eV/atom
DFT total energy   -43.04 eV per formula unit

Lattice parameters (Å, degrees): 7.5606 7.5606 9.6058 90.00 90.00 120.00
With the nearest neighbours (Å) after each atom.
Sites, in units of the cell vectors:
Rb: 0.0000 0.0000 0.0000  12 Br 3.76-3.78
Rb: 0.3333 0.6667 0.6871  9 Br 3.71-3.79
Rb: 0.6667 0.3333 0.3129  9 Br 3.71-3.79
Ni: 0.3333 0.6667 0.1519  6 Br 2.42-2.63
Ni: 0.6667 0.3333 0.8481  6 Br 2.42-2.63
I: 0.0000 0.0000 0.5000  6 Br 3.08
Br: 0.0000 0.5000 0.0000  2 Ni 2.63
Br: 0.1841 0.3682 0.2999  1 Ni 2.42
Br: 0.1841 0.8159 0.2999  1 Ni 2.42
Br: 0.3682 0.1841 0.7001  1 Ni 2.42
Br: 0.5000 0.0000 0.0000  2 Ni 2.63
Br: 0.5000 0.5000 0.0000  2 Ni 2.63
Br: 0.6318 0.8159 0.2999  1 Ni 2.42
Br: 0.8159 0.1841 0.7001  1 Ni 2.42
Br: 0.8159 0.6318 0.7001  1 Ni 2.42

***

VASP calculation (PBE) on crystalline Zr3TlH at its relaxed geometry.

Calculated volume   19.417 Å³ per atom
DFT total energy   -31.75 eV per formula unit

Lattice parameters (Å, degrees): 8.5693 5.7420 8.3892 90.00 109.82 90.00
With the nearest neighbours (Å) after each atom.
Sites, in units of the cell vectors:
Zr: 0.0052 0.0660 0.3287  2 H 2.15-2.16
Zr: 0.0052 0.4340 0.8287  2 H 2.15-2.16
Zr: 0.1859 0.0045 0.0522  1 H 2.11
Zr: 0.1859 0.4955 0.5522  1 H 2.11
Zr: 0.3929 0.1203 0.7838  1 H 2.10
Zr: 0.3929 0.3797 0.2838  1 H 2.10
Zr: 0.6071 0.6203 0.7162  1 H 2.10
Zr: 0.6071 0.8797 0.2162  1 H 2.10
Zr: 0.8141 0.5045 0.4478  1 H 2.11
Zr: 0.8141 0.9955 0.9478  1 H 2.11
Zr: 0.9948 0.5660 0.1713  2 H 2.15-2.16
Zr: 0.9948 0.9340 0.6713  2 H 2.15-2.16
Tl: 0.3488 0.6421 0.9102  7 Zr 2.97-3.24, 1 H 2.98, 1 Tl 3.00
Tl: 0.3488 0.8579 0.4102  7 Zr 2.97-3.24, 1 H 2.98, 1 Tl 3.00
Tl: 0.6512 0.1421 0.5898  7 Zr 2.97-3.24, 1 H 2.98, 1 Tl 3.00
Tl: 0.6512 0.3579 0.0898  7 Zr 2.97-3.24, 1 H 2.98, 1 Tl 3.00
H: 0.1631 0.1348 0.5866  4 Zr 2.10-2.16
H: 0.1631 0.3652 0.0866  4 Zr 2.10-2.16
H: 0.8369 0.6348 0.9134  4 Zr 2.10-2.16
H: 0.8369 0.8652 0.4134  4 Zr 2.10-2.16